# 1
A geometry-optimized Ta2RhC2 structure. Source: Alexandria, functional PBE.

Calculated values
* symmetry: P4/mbm, No. 127
* distance to the lowest polymorph of the same formula: 0.000 eV per atom
* energy: -0.72877 Ry per atom

```
data_Ta2RhC2
_cell_length_a 6.2148
_cell_length_b 6.2148
_cell_length_c 3.0071
_cell_angle_alpha 90.00
_cell_angle_beta 90.00
_cell_angle_gamma 90.00
_symmetry_space_group_name_H-M 'P 1'
_symmetry_Int_Tables_number 1
_symmetry_space_group_name_Hall 'P 1'
loop_
_atom_site_label
_atom_site_type_symbol
_atom_site_fract_x
_atom_site_fract_y
_atom_site_fract_z
Ta1 Ta 0.1549 0.3451 0.0000
Ta2 Ta 0.3451 0.8451 0.0000
Ta3 Ta 0.6549 0.1549 0.0000
Ta4 Ta 0.8451 0.6549 0.0000
Rh1 Rh 0.0000 0.0000 0.5000
Rh2 Rh 0.5000 0.5000 0.5000
C1 C 0.1558 0.6558 0.5000
C2 C 0.3442 0.1558 0.5000
C3 C 0.6558 0.8442 0.5000
C4 C 0.8442 0.3442 0.5000
```

# 2
A geometry-optimized AcZr2U structure. Source: Alexandria, functional PBE.

Calculated values
* symmetry: R-3m, No. 166
* energy: -0.55730 Ry per atom

```
data_AcZr2U
_cell_length_a 3.3279
_cell_length_b 3.3279
_cell_length_c 34.9279
_cell_angle_alpha 90.00
_cell_angle_beta 90.00
_cell_angle_gamma 120.00
_symmetry_space_group_name_H-M 'P 1'
_symmetry_Int_Tables_number 1
_symmetry_space_group_name_Hall 'P 1'
loop_
_atom_site_label
_atom_site_type_symbol
_atom_site_fract_x
_atom_site_fract_y
_atom_site_fract_z
Ac1 Ac 0.0000 0.0000 0.0000
Ac2 Ac 0.3333 0.6667 0.6667
Ac3 Ac 0.6667 0.3333 0.3333
Zr1 Zr 0.0000 0.0000 0.0947
Zr2 Zr 0.0000 0.0000 0.9053
Zr3 Zr 0.3333 0.6667 0.5719
Zr4 Zr 0.3333 0.6667 0.7614
Zr5 Zr 0.6667 0.3333 0.2386
Zr6 Zr 0.6667 0.3333 0.4281
U1 U 0.0000 0.0000 0.5000
U2 U 0.3333 0.6667 0.1667
U3 U 0.6667 0.3333 0.8333
```

The calculation returns the following magnetization values, one per record and in order: 0.000, 0.487 μB per atom.